Entry 1:
BeCdSb2 | GGA-PBE | optimized geometry

For the energy above the most stable polymorph in this dataset, the calculation gives 0.00 kJ per mole of atoms. The formation energy from raw total energies comes out at 210 meV per atom. The calculation puts the calculated volume at 22.61 Å³ per atom. The density of states at the Fermi level comes out at 1.45 states/eV/f.u.

The structure belongs to space group C2/m (No. 12); the cell edges are 6.796, 3.706 and 7.428 Å and the angles 90.00°, 104.74° and 90.00°. The asymmetric unit holds Be at (0.000, 0.000, 0.000), Cd at (0.000, 0.500, 0.500) and Sb at (0.224, 0.500, 0.192).


Entry 2:
BeCd2Sb | GGA-PBE | optimized geometry

For the energy above the most stable polymorph in this dataset, the calculation gives 23.98 kJ per mole of atoms. The formation energy from raw total energies comes out at 455 meV per atom. The calculation puts the calculated volume at 21.18 Å³ per atom. The density of states at the Fermi level comes out at 1.39 states/eV/f.u.

The structure belongs to space group I-4m2 (No. 119); the cell edges are 4.405, 4.405 and 8.732 Å and the angles 90.00°, 90.00° and 90.00°. The asymmetric unit holds Be at (0.000, 0.000, 0.000), Cd at (0.000, 0.000, 0.500), Cd at (0.000, 0.500, 0.750) and Sb at (0.000, 0.500, 0.250).


Which value of formation energy from raw total energies does entry 2 give? 455 meV per atom


Number 2 is which compound? BeCd2Sb


The highest formation energy from raw total energies belongs to which entry? BeCd2Sb


Among the records above, which one has the lowest formation energy from raw total energies? BeCdSb2